<one>
DFT (GGA-PBE) results for an optimized crystal structure of BiSeNF2.

Cell lengths 4.827, 4.827, 3.628 Å; angles 90.00, 90.00, 90.00 degrees
Positions (direct):
1 Bi 0.000 0.000 0.000
2 Se 0.500 0.500 0.500
3 N 0.500 0.500 0.000
4 F 0.000 0.500 0.500
5 F 0.500 0.000 0.500

SG ... P4/mmm (123)
Density of states at the Fermi level ... 2.326 states/eV/f.u.

=====

<two>
DFT (GGA-PBE) results for an optimized crystal structure of BiSeNF2.

Cell lengths 4.414, 4.414, 4.808 Å; angles 90.00, 90.00, 90.00 degrees
Positions (direct):
1 Bi 0.000 0.000 0.000
2 Se 0.500 0.500 0.500
3 N 0.000 0.000 0.500
4 F 0.000 0.500 0.000
5 F 0.500 0.000 0.000

SG ... P4/mmm (123)
Density of states at the Fermi level ... 4.317 states/eV/f.u.

=====

Which structure wins on stability? <two> wins.

=====

<one>
DFT (GGA-PBE) results for an optimized crystal structure of SrBiN2F.

Cell lengths 4.371, 4.371, 4.542 Å; angles 90.00, 90.00, 90.00 degrees
Positions (direct):
1 Sr 0.000 0.000 0.000
2 Bi 0.500 0.500 0.500
3 N 0.000 0.500 0.500
4 N 0.500 0.000 0.500
5 F 0.500 0.500 0.000

SG ... P4/mmm (123)
Density of states at the Fermi level ... 1.354 states/eV/f.u.

=====

<two>
DFT (GGA-PBE) results for an optimized crystal structure of SrBiN2F.

Cell lengths 4.847, 4.847, 4.410 Å; angles 90.00, 90.00, 90.00 degrees
Positions (direct):
1 Sr 0.000 0.000 0.000
2 Bi 0.500 0.500 0.500
3 N 0.000 0.500 0.000
4 N 0.500 0.000 0.000
5 F 0.000 0.000 0.500

SG ... P4/mmm (123)
Density of states at the Fermi level ... 1.708 states/eV/f.u.

=====

Which structure wins on stability? <one> wins.